# 1
# CaMgPbAu, relaxed, DFT PBE
data_CaMgPbAu
_chemical_formula_sum 'Ca4 Mg4 Pb4 Au4'
_symmetry_space_group_name_H-M 'F -4 3 m'
_symmetry_Int_Tables_number 216
_symmetry_space_group_name_Hall 'F -4 2 3'
_cell_length_a 7.260
_cell_length_b 7.260
_cell_length_c 7.260
_cell_angle_alpha 90.00
_cell_angle_beta 90.00
_cell_angle_gamma 90.00
loop_
_atom_site_label
_atom_site_fract_x
_atom_site_fract_y
_atom_site_fract_z
Ca1 0.000 0.000 0.000
Mg1 0.000 0.000 0.500
Pb1 0.250 0.250 0.750
Au1 0.250 0.250 0.250
# Raw total energy ... -3.09 eV/atom
# V ... 383 Å³ per cell
# Magnetic moment ... 0.0 μB per cell

---

# 2
# TbMn6Ge6, relaxed, DFT PBE
data_TbMn6Ge6
_chemical_formula_sum 'Tb2 Mn12 Ge12'
_symmetry_space_group_name_H-M 'I m m m'
_symmetry_Int_Tables_number 71
_symmetry_space_group_name_Hall '-I 2 2'
_cell_length_a 5.175
_cell_length_b 8.150
_cell_length_c 8.950
_cell_angle_alpha 90.00
_cell_angle_beta 90.00
_cell_angle_gamma 90.00
loop_
_atom_site_label
_atom_site_fract_x
_atom_site_fract_y
_atom_site_fract_z
Tb1 0.000 0.000 0.000
Mn1 0.000 0.248 0.500
Mn2 0.250 0.250 0.250
Ge1 0.000 0.000 0.336
Ge2 0.000 0.345 0.000
Ge3 0.000 0.500 0.331
# Raw total energy ... -7.03 eV/atom
# V ... 377 Å³ per cell
# Magnetic moment ... 23.1 μB per cell

---

# 3
# PdPt2Au, relaxed, DFT PBE
data_PdPt2Au
_chemical_formula_sum 'Pd1 Pt2 Au1'
_symmetry_space_group_name_H-M 'P 4/m m m'
_symmetry_Int_Tables_number 123
_symmetry_space_group_name_Hall '-P 4 2'
_cell_length_a 3.967
_cell_length_b 3.967
_cell_length_c 4.100
_cell_angle_alpha 90.00
_cell_angle_beta 90.00
_cell_angle_gamma 90.00
loop_
_atom_site_label
_atom_site_fract_x
_atom_site_fract_y
_atom_site_fract_z
Pd1 0.000 0.000 0.000
Pt1 0.000 0.500 0.500
Au1 0.500 0.500 0.000
# V ... 65 Å³ per cell
# Excess energy over the best structure of this formula in the dataset ... 5 meV per atom
# Magnetic moment ... 0.0 μB per cell

---

# 4
# Pm3Zn4Rh2, relaxed, DFT PBE
data_Pm3Zn4Rh2
_chemical_formula_sum 'Pm6 Zn8 Rh4'
_symmetry_space_group_name_H-M 'C 1 2/m 1'
_symmetry_Int_Tables_number 12
_symmetry_space_group_name_Hall '-C 2y'
_cell_length_a 10.011
_cell_length_b 4.621
_cell_length_c 8.460
_cell_angle_alpha 90.00
_cell_angle_beta 105.69
_cell_angle_gamma 90.00
loop_
_atom_site_label
_atom_site_fract_x
_atom_site_fract_y
_atom_site_fract_z
Pm1 0.000 0.000 0.000
Pm2 0.132 0.500 0.694
Zn1 0.086 0.000 0.402
Zn2 0.221 0.500 0.077
Rh1 0.180 0.500 0.361
# V ... 377 Å³ per cell
# Excess energy over the best structure of this formula in the dataset ... 46 meV per atom
# Magnetic moment ... 0.0 μB per cell

---

# 5
# ZrTc, relaxed, DFT PBE
data_ZrTc
_chemical_formula_sum 'Zr16 Tc16'
_symmetry_space_group_name_H-M 'F d d d'
_symmetry_Int_Tables_number 70
_cell_length_a 6.889
_cell_length_b 8.627
_cell_length_c 10.462
_cell_angle_alpha 90.00
_cell_angle_beta 90.00
_cell_angle_gamma 90.00
loop_
_symmetry_equiv_pos_as_xyz
'x,y,z'
'-x,-y,-z'
'-x+1/4,-y+1/4,z'
'x+1/4,y+1/4,-z'
'x,-y+1/4,-z+1/4'
'-x,y+1/4,z+1/4'
'-x+1/4,y,-z+1/4'
'x+1/4,-y,z+1/4'
'x,y+1/2,z+1/2'
'-x,-y+1/2,-z+1/2'
'-x+1/4,-y+3/4,z+1/2'
'x+1/4,y+3/4,-z+1/2'
'x,-y+3/4,-z+3/4'
'-x,y+3/4,z+3/4'
'-x+1/4,y+1/2,-z+3/4'
'x+1/4,-y+1/2,z+3/4'
'x+1/2,y,z+1/2'
'-x+1/2,-y,-z+1/2'
'-x+3/4,-y+1/4,z+1/2'
'x+3/4,y+1/4,-z+1/2'
'x+1/2,-y+1/4,-z+3/4'
'-x+1/2,y+1/4,z+3/4'
'-x+3/4,y,-z+3/4'
'x+3/4,-y,z+3/4'
'x+1/2,y+1/2,z'
'-x+1/2,-y+1/2,-z'
'-x+3/4,-y+3/4,z'
'x+3/4,y+3/4,-z'
'x+1/2,-y+3/4,-z+1/4'
'-x+1/2,y+3/4,z+1/4'
'-x+3/4,y+1/2,-z+1/4'
'x+3/4,-y+1/2,z+1/4'
loop_
_atom_site_label
_atom_site_fract_x
_atom_site_fract_y
_atom_site_fract_z
Zr1 0.125 0.321 0.125
Tc1 0.054 0.375 0.875
# Raw total energy ... -9.25 eV/atom
# V ... 622 Å³ per cell
# Magnetic moment ... 0.0 μB per cell

---

# 6
# Pu3ScTl4S8, relaxed, DFT PBE
data_Pu3ScTl4S8
_chemical_formula_sum 'Pu9 Sc3 Tl12 S24'
_symmetry_space_group_name_H-M 'R -3 m'
_symmetry_Int_Tables_number 166
_symmetry_space_group_name_Hall '-R 3 2"'
_cell_length_a 8.0333
_cell_length_b 8.0333
_cell_length_c 22.3818
_cell_angle_alpha 90.00
_cell_angle_beta 90.00
_cell_angle_gamma 120.00
loop_
_atom_site_label
_atom_site_fract_x
_atom_site_fract_y
_atom_site_fract_z
Pu1 0.0000 0.5000 0.0000
Sc1 0.0000 0.0000 0.0000
Tl1 0.0000 0.0000 0.5000
Tl2 0.0000 0.5000 0.5000
S1 0.0000 0.0000 0.2682
S2 0.0127 0.5064 0.7308
# V ... 1251 Å³ per cell
# Magnetic moment ... 45.0 μB per cell
# Formation energy (no corrections) ... -1.24 eV per atom

---

# 7
# YHgBr2, relaxed, DFT PBE
data_YHgBr2
_chemical_formula_sum 'Y2 Hg2 Br4'
_symmetry_space_group_name_H-M 'I m m m'
_symmetry_Int_Tables_number 71
_symmetry_space_group_name_Hall '-I 2 2'
_cell_length_a 3.735
_cell_length_b 5.538
_cell_length_c 14.301
_cell_angle_alpha 90.00
_cell_angle_beta 90.00
_cell_angle_gamma 90.00
loop_
_atom_site_label
_atom_site_fract_x
_atom_site_fract_y
_atom_site_fract_z
Y1 0.000 0.000 0.000
Hg1 0.000 0.000 0.500
Br1 0.000 0.500 0.350
# V ... 296 Å³ per cell
# Excess energy over the best structure of this formula in the dataset ... 69 meV per atom
# Magnetic moment ... 0.0 μB per cell
# Formation energy (no corrections) ... -1.11 eV per atom

---

# 8
# BaMgSeF2, relaxed, DFT PBE
data_BaMgSeF2
_chemical_formula_sum 'Ba1 Mg1 Se1 F2'
_symmetry_space_group_name_H-M 'P 4 m m'
_symmetry_Int_Tables_number 99
_symmetry_space_group_name_Hall 'P 4 -2'
_cell_length_a 4.189
_cell_length_b 4.189
_cell_length_c 6.105
_cell_angle_alpha 90.00
_cell_angle_beta 90.00
_cell_angle_gamma 90.00
loop_
_atom_site_label
_atom_site_fract_x
_atom_site_fract_y
_atom_site_fract_z
Ba1 0.000 0.000 0.000
Mg1 0.500 0.500 0.394
Se1 0.500 0.500 0.807
F1 0.000 0.500 0.309
# V ... 107 Å³ per cell
# Magnetic moment ... 0.0 μB per cell
# Formation energy (no corrections) ... -2.79 eV per atom

---

What did the seventh record say?
# YHgBr2, relaxed, DFT PBE
data_YHgBr2
_chemical_formula_sum 'Y2 Hg2 Br4'
_symmetry_space_group_name_H-M 'I m m m'
_symmetry_Int_Tables_number 71
_symmetry_space_group_name_Hall '-I 2 2'
_cell_length_a 3.735
_cell_length_b 5.538
_cell_length_c 14.301
_cell_angle_alpha 90.00
_cell_angle_beta 90.00
_cell_angle_gamma 90.00
loop_
_atom_site_label
_atom_site_fract_x
_atom_site_fract_y
_atom_site_fract_z
Y1 0.000 0.000 0.000
Hg1 0.000 0.000 0.500
Br1 0.000 0.500 0.350
# V ... 296 Å³ per cell
# Excess energy over the best structure of this formula in the dataset ... 69 meV per atom
# Magnetic moment ... 0.0 μB per cell
# Formation energy (no corrections) ... -1.11 eV per atom

---

Q: Look up the V of the third one.
A: 65 Å³ per cell